KZnRh2: relaxed, GGA-PBE.

Properties
* total magnetization: 0.000 μB/cell
* E: -3.9514 eV/atom
* space-group type: P2/m (10)

Lattice parameters (Å, degrees): 2.7657 4.3032 6.7917 90.00 99.98 90.00
Fractional coordinates of all 4 atoms:
1 K 0.0000 0.0000 0.0000
2 Zn 0.5000 0.0000 0.5000
3 Rh 0.3010 0.5000 0.6686
4 Rh 0.6990 0.5000 0.3314